## one
A geometry-optimized TbErCu structure, computed with GGA-PBE.

Cell lengths 3.6802, 6.5208, 6.8821 Å; angles 97.24, 105.50, 106.35 degrees
Element x y z (fractional)
Tb: 0.0915 0.2482 0.4365
Tb: 0.9085 0.7518 0.5635
Er: 0.2109 0.8089 0.1127
Er: 0.7891 0.1911 0.8873
Cu: 0.4480 0.5676 0.8276
Cu: 0.5520 0.4324 0.1724

Results
- Size of the total moment: 0.000 Bohr magnetons per cell
- Theoretical density: 8.68 g/cm³



## two
A geometry-optimized TbErCu structure, computed with GGA-PBE.

Cell lengths 4.8300, 4.8300, 4.8300 Å; angles 60.00, 60.00, 60.00 degrees
Element x y z (fractional)
Tb: 0.0000 0.0000 0.0000
Er: 0.5000 0.5000 0.5000
Cu: 0.2500 0.2500 0.2500

Results
- Size of the total moment: 0.000 Bohr magnetons per cell
- Theoretical density: 8.12 g/cm³



one wins, 0.198 eV/atom ahead of the next structure.